[1]
This record from the Alexandria database describes Ca5YHg6 after structural relaxation. The functional is PBE.

Cell: 5.3235 7.5991 8.4056 Å, 90.00 71.54 90.00°
Positions (direct):
Ca 0.3324 0.0000 0.3353
Ca 0.6676 0.0000 0.6647
Ca 0.0000 0.5000 0.0000
Ca 0.3329 0.5000 0.3343
Ca 0.6671 0.5000 0.6657
Hg 0.8363 0.7539 0.3274
Hg 0.5000 0.7583 0.0000
Hg 0.5000 0.2417 0.0000
Hg 0.1637 0.2461 0.6726
Hg 0.1637 0.7539 0.6726
Hg 0.8363 0.2461 0.3274
Y 0.0000 0.0000 0.0000

VASP energy ... -2.075 eV/atom
Space-group type ... Cmmm (65)
Magnetic moment ... 0.000 μB per cell
D(E_F) ... 0.571 states/eV/atom



[2]
This record from the Alexandria database describes CaY2Hg after structural relaxation. The functional is PBE.

Cell: 6.6845 6.6845 3.5140 Å, 77.35 77.35 121.07°
Positions (direct):
Ca 0.5000 0.0000 0.5000
Hg 0.0000 0.5000 0.5000
Y 0.0000 0.0000 0.0000
Y 0.5000 0.5000 0.0000

VASP energy ... -3.841 eV/atom
Space-group type ... C2/m (12)
Magnetic moment ... 0.000 μB per cell
D(E_F) ... 1.269 states/eV/atom



[3]
This record from the Alexandria database describes CaY2Hg after structural relaxation. The functional is PBE.

Cell: 3.7246 3.7246 11.0279 Å, 80.28 80.28 60.00°
Site moments in Bohr magnetons follow the coordinates.
Positions (direct):
Y 0.2622 0.2622 0.2134  0.08
Y 0.0711 0.0711 0.7866  0.12
Hg 0.6664 0.6664 0.0007  0.00
Ca 0.5002 0.5002 0.4993  0.04

VASP energy ... -3.923 eV/atom
Space-group type ... R3m (160)
Magnetic moment ... 0.631 μB per cell
D(E_F) ... 1.417 states/eV/atom



[4]
This record from the Alexandria database describes CaY2Hg6 after structural relaxation. The functional is PBE.

Cell: 3.4802 8.5968 8.5968 Å, 120.00 90.00 90.00°
Site moments in Bohr magnetons follow the coordinates.
Positions (direct):
Y 0.0000 0.6667 0.3333  0.06
Y 0.0000 0.3333 0.6667  0.06
Hg 0.5000 0.6664 0.6664  0.00
Hg 0.5000 0.0000 0.6664  0.00
Hg 0.5000 0.3336 0.0000  0.00
Hg 0.5000 0.6664 0.0000  0.00
Hg 0.5000 0.0000 0.3336  0.00
Hg 0.5000 0.3336 0.3336  0.00
Ca 0.0000 0.0000 0.0000  0.00

VASP energy ... -2.273 eV/atom
Space-group type ... P6/mmm (191)
Magnetic moment ... 0.240 μB per cell
D(E_F) ... 0.660 states/eV/atom



[5]
This record from the Alexandria database describes CaY2Hg after structural relaxation. The functional is PBE.

Cell: 5.5109 5.5109 5.5109 Å, 60.00 60.00 60.00°
Positions (direct):
Y 0.2500 0.2500 0.2500
Y 0.0000 0.0000 0.0000
Hg 0.7500 0.7500 0.7500
Ca 0.5000 0.5000 0.5000

VASP energy ... -3.812 eV/atom
Space-group type ... F-43m (216)
Magnetic moment ... 0.000 μB per cell
D(E_F) ... 0.686 states/eV/atom



[6]
This record from the Alexandria database describes Ca2YHg4 after structural relaxation. The functional is PBE.

Cell: 6.4318 6.4318 6.4318 Å, 107.48 110.47 110.47°
Positions (direct):
Hg 0.5000 0.0000 0.0000
Hg 0.0000 0.5000 0.0000
Hg 0.0000 0.0000 0.5000
Hg 0.5000 0.5000 0.5000
Ca 0.5000 0.0000 0.5000
Ca 0.5000 0.5000 0.0000
Y 0.0000 0.0000 0.0000

VASP energy ... -2.061 eV/atom
Space-group type ... I4/mmm (139)
Magnetic moment ... 0.000 μB per cell
D(E_F) ... 1.044 states/eV/atom



[7]
This record from the Alexandria database describes Ca2Y2Hg after structural relaxation. The functional is PBE.

Cell: 7.8464 7.8464 5.7626 Å, 90.00 90.00 90.00°
Site moments in Bohr magnetons follow the coordinates.
Positions (direct):
Y 0.8506 0.6494 0.0000  0.19
Y 0.6494 0.1494 0.0000  0.20
Y 0.3506 0.8506 0.0000  0.20
Y 0.1494 0.3506 0.0000  0.19
Hg 0.0000 0.0000 0.0000  0.02
Hg 0.5000 0.5000 0.0000  0.02
Ca 0.6632 0.8368 0.5000  0.04
Ca 0.8368 0.3368 0.5000  0.04
Ca 0.3368 0.1632 0.5000  0.04
Ca 0.1632 0.6632 0.5000  0.04

E above lowest polymorph ... 0.0000 eV/atom
Space-group type ... P4/mbm (127)
Magnetic moment ... 2.330 μB per cell
D(E_F) ... 1.423 states/eV/atom



[8]
This record from the Alexandria database describes CaY2Hg2 after structural relaxation. The functional is PBE.

Cell: 3.7403 5.3884 13.9390 Å, 90.00 97.68 90.00°
Positions (direct):
Y 0.9517 0.2500 0.9038
Y 0.0483 0.7500 0.0962
Y 0.2330 0.7500 0.4659
Y 0.7670 0.2500 0.5341
Hg 0.5457 0.2500 0.0895
Hg 0.3566 0.2500 0.7139
Hg 0.4543 0.7500 0.9105
Hg 0.6434 0.7500 0.2861
Ca 0.1441 0.2500 0.2875
Ca 0.8559 0.7500 0.7125

E above lowest polymorph ... 0.0022 eV/atom
Space-group type ... P2_1/m (11)
Magnetic moment ... 0.000 μB per cell
D(E_F) ... 0.658 states/eV/atom



[9]
This record from the Alexandria database describes Ca3YHg12 after structural relaxation. The functional is PBE.

Cell: 4.6674 4.6674 18.6947 Å, 90.00 90.00 90.00°
Positions (direct):
Hg 0.5000 0.5000 0.5000
Hg 0.5000 0.5000 0.7520
Hg 0.5000 0.0000 0.1221
Hg 0.0000 0.5000 0.1221
Hg 0.5000 0.5000 0.2480
Hg 0.5000 0.0000 0.6256
Hg 0.0000 0.5000 0.3744
Hg 0.5000 0.5000 0.0000
Hg 0.5000 0.0000 0.8779
Hg 0.0000 0.5000 0.6256
Hg 0.5000 0.0000 0.3744
Hg 0.0000 0.5000 0.8779
Ca 0.0000 0.0000 0.5000
Ca 0.0000 0.0000 0.7503
Ca 0.0000 0.0000 0.2497
Y 0.0000 0.0000 0.0000

VASP energy ... -1.365 eV/atom
Space-group type ... P4/mmm (123)
Magnetic moment ... 0.000 μB per cell
D(E_F) ... 0.566 states/eV/atom



[10]
This record from the Alexandria database describes CaY2Hg after structural relaxation. The functional is PBE.

Cell: 5.8156 5.8156 5.8156 Å, 128.81 128.81 75.31°
Positions (direct):
Hg 0.7500 0.2500 0.5000
Y 0.5000 0.5000 0.0000
Y 0.0000 0.0000 0.0000
Ca 0.2500 0.7500 0.5000

VASP energy ... -3.881 eV/atom
Space-group type ... I4/mmm (139)
Magnetic moment ... 0.058 μB per cell
D(E_F) ... 1.063 states/eV/atom



[11]
This record from the Alexandria database describes CaY2Hg2 after structural relaxation. The functional is PBE.

Cell: 8.5729 8.5729 3.8602 Å, 90.00 90.00 90.00°
Positions (direct):
Hg 0.8638 0.6362 0.0000
Hg 0.3638 0.8638 0.0000
Hg 0.6362 0.1362 0.0000
Hg 0.1362 0.3638 0.0000
Y 0.8388 0.3388 0.5000
Y 0.1612 0.6612 0.5000
Y 0.3388 0.1612 0.5000
Y 0.6612 0.8388 0.5000
Ca 0.0000 0.0000 0.0000
Ca 0.5000 0.5000 0.0000

E above lowest polymorph ... 0.0000 eV/atom
Space-group type ... P4/mbm (127)
Magnetic moment ... 0.000 μB per cell
D(E_F) ... 1.132 states/eV/atom



[12]
This record from the Alexandria database describes CaY2Hg after structural relaxation. The functional is PBE.

Cell: 6.0571 6.0571 6.0571 Å, 133.16 133.16 68.40°
Positions (direct):
Y 0.0000 0.0000 0.0000
Y 0.2500 0.7500 0.5000
Ca 0.5000 0.5000 0.0000
Hg 0.7500 0.2500 0.5000

VASP energy ... -3.884 eV/atom
Space-group type ... I-4m2 (119)
Magnetic moment ... 0.000 μB per cell
D(E_F) ... 0.870 states/eV/atom



[13]
This record from the Alexandria database describes CaY5Hg6 after structural relaxation. The functional is PBE.

Cell: 5.2834 7.4486 8.3572 Å, 90.00 71.78 90.00°
Positions (direct):
Y 0.3340 0.5000 0.3317
Y 0.3353 0.0000 0.3298
Y 0.0000 0.5000 0.0000
Y 0.6660 0.5000 0.6683
Y 0.6647 0.0000 0.6702
Ca 0.0000 0.0000 0.0000
Hg 0.1687 0.2527 0.6629
Hg 0.1687 0.7473 0.6629
Hg 0.8313 0.7473 0.3371
Hg 0.5000 0.2562 0.0000
Hg 0.5000 0.7438 0.0000
Hg 0.8313 0.2527 0.3371

VASP energy ... -3.534 eV/atom
Space-group type ... P2/m (10)
Magnetic moment ... 0.000 μB per cell
D(E_F) ... 0.756 states/eV/atom



[14]
This record from the Alexandria database describes CaY2Hg4 after structural relaxation. The functional is PBE.

Cell: 5.1353 5.1353 9.0869 Å, 73.59 73.59 60.00°
Positions (direct):
Hg 0.3770 0.3770 0.8689
Hg 0.6230 0.6230 0.1311
Hg 0.1262 0.1262 0.6214
Hg 0.8738 0.8738 0.3786
Ca 0.0000 0.0000 0.0000
Y 0.2458 0.2458 0.2626
Y 0.7542 0.7542 0.7374

VASP energy ... -2.653 eV/atom
Space-group type ... R-3m (166)
Magnetic moment ... 0.000 μB per cell
D(E_F) ... 0.688 states/eV/atom



[15]
This record from the Alexandria database describes CaY2Hg after structural relaxation. The functional is PBE.

Cell: 4.9687 4.9688 4.6851 Å, 90.00 90.00 89.99°
Positions (direct):
Y 0.0000 0.0000 0.0000
Y 0.5000 0.5000 0.0000
Ca 0.5000 0.0000 0.5000
Hg 0.0000 0.5000 0.5000

VASP energy ... -3.939 eV/atom
Space-group type ... P4/mmm (123)
Magnetic moment ... 0.000 μB per cell
D(E_F) ... 0.970 states/eV/atom



[16]
This record from the Alexandria database describes CaY2Hg after structural relaxation. The functional is PBE.

Cell: 6.6720 6.6720 5.4265 Å, 66.04 66.04 33.73°
Positions (direct):
Ca 0.5361 0.5361 0.4643
Y 0.9624 0.9624 0.0379
Y 0.7477 0.7477 0.7524
Hg 0.2538 0.2538 0.2454

VASP energy ... -3.982 eV/atom
Space-group type ... Cm (8)
Magnetic moment ... 0.002 μB per cell
D(E_F) ... 1.315 states/eV/atom



[17]
This record from the Alexandria database describes CaY2Hg after structural relaxation. The functional is PBE.

Cell: 11.0191 11.0202 11.0186 Å, 19.49 19.48 19.49°
Site moments in Bohr magnetons follow the coordinates.
Positions (direct):
Hg 0.7500 0.7500 0.7500  0.00
Y 0.4876 0.4877 0.4876  0.12
Y 0.0124 0.0123 0.0124  0.12
Ca 0.2500 0.2500 0.2500  0.02

VASP energy ... -3.931 eV/atom
Space-group type ... R-3m (166)
Magnetic moment ... 0.608 μB per cell
D(E_F) ... 1.158 states/eV/atom



[18]
This record from the Alexandria database describes CaY2Hg2 after structural relaxation. The functional is PBE.

Cell: 8.9641 8.9641 3.4928 Å, 90.00 90.00 90.00°
Positions (direct):
Hg 0.1671 0.6671 0.5000
Hg 0.6671 0.8329 0.5000
Hg 0.8329 0.3329 0.5000
Hg 0.3329 0.1671 0.5000
Ca 0.5000 0.5000 0.0000
Ca 0.0000 0.0000 0.0000
Y 0.3678 0.8678 0.0000
Y 0.1322 0.3678 0.0000
Y 0.8678 0.6322 0.0000
Y 0.6322 0.1322 0.0000

E above lowest polymorph ... 0.1087 eV/atom
Space-group type ... P4/mbm (127)
Magnetic moment ... 0.109 μB per cell
D(E_F) ... 0.904 states/eV/atom



[19]
This record from the Alexandria database describes CaY3Hg4 after structural relaxation. The functional is PBE.

Cell: 5.2718 7.5084 10.5455 Å, 90.00 90.00 90.00°
Positions (direct):
Y 0.0000 0.0000 0.5000
Y 0.5000 0.0000 0.7500
Y 0.5001 0.5000 0.7500
Y 0.4999 0.5000 0.2500
Y 0.5000 0.0000 0.2500
Y 0.0000 0.0000 0.0000
Hg 0.5000 0.2456 0.5000
Hg 0.9999 0.7544 0.7500
Hg 0.9999 0.2456 0.7500
Hg 0.5000 0.2456 0.0000
Hg 0.5000 0.7544 0.0000
Hg 0.0001 0.2456 0.2500
Hg 0.0001 0.7544 0.2500
Hg 0.5000 0.7544 0.5000
Ca 0.0000 0.5000 0.0000
Ca 0.0000 0.5000 0.5000

VASP energy ... -3.356 eV/atom
Space-group type ... P4/mmm (123)
Magnetic moment ... 0.000 μB per cell
D(E_F) ... 0.547 states/eV/atom



[20]
This record from the Alexandria database describes CaY2Hg after structural relaxation. The functional is PBE.

Cell: 8.8986 8.8986 7.0974 Å, 51.18 51.18 90.00°
Positions (direct):
Y 0.3750 0.3222 0.7500
Y 0.6778 0.1250 0.2500
Y 0.0722 0.6250 0.2500
Y 0.8750 0.9278 0.7500
Hg 0.0000 0.0000 0.0000
Hg 0.7500 0.2500 0.5000
Ca 0.2500 0.7500 0.5000
Ca 0.5000 0.5000 0.0000

VASP energy ... -3.831 eV/atom
Space-group type ... I-42d (122)
Magnetic moment ... 0.000 μB per cell
D(E_F) ... 0.249 states/eV/atom